First-principles (PBE) data for an optimized crystal structure of YAl2Fe2, as listed in Alexandria via LeMat-Bulk.

- energy of formation from the pure elements (meV per atom) = -209.8
- energy relative to the lowest polymorph listed for this composition (eV/atom) = 0.005
- magnetic moment (μB per formula unit) = 3.8
- space group = No. 139

Cell and atoms, written as POSCAR:
```
YAl2Fe2
1.0
-1.920 1.920 5.750
1.920 -1.920 5.750
1.920 1.920 -5.750
Y Al Fe
1 2 2
direct
0.000 0.000 0.000
0.383 0.383 0.000
0.617 0.617 0.000
0.250 0.750 0.500
0.750 0.250 0.500
```

---

First-principles (PBE) data for an optimized crystal structure of Pa2TaFe9, as listed in Alexandria via LeMat-Bulk.

- energy of formation from the pure elements (meV per atom) = -59.2
- magnetic moment (μB per formula unit) = 4.3
- space group = No. 166

Cell and atoms, written as POSCAR:
```
Pa2TaFe9
1.0
2.373 1.370 8.370
-2.373 1.370 8.370
0.000 -2.741 8.370
Pa Ta Fe
2 1 9
direct
0.141 0.141 0.141
0.859 0.859 0.859
0.000 0.000 0.000
0.079 0.578 0.578
0.333 0.333 0.333
0.422 0.422 0.921
0.422 0.921 0.422
0.500 0.500 0.500
0.578 0.079 0.578
0.578 0.578 0.079
0.667 0.667 0.667
0.921 0.422 0.422
```

---

First-principles (PBE) data for an optimized crystal structure of NiC, as listed in Alexandria via LeMat-Bulk.

- energy of formation from the pure elements (meV per atom) = 960.4
- magnetic moment (μB per formula unit) = 0.0
- space group = No. 186

Cell and atoms, written as POSCAR:
```
NiC
1.0
3.009 0.000 0.000
-1.505 2.606 0.000
0.000 0.000 5.226
Ni C
2 2
direct
0.333 0.667 0.000
0.667 0.333 0.500
0.333 0.667 0.632
0.667 0.333 0.132
```

---

First-principles (PBE) data for an optimized crystal structure of DyHo2V, as listed in Alexandria via LeMat-Bulk.

- energy of formation from the pure elements (meV per atom) = 600.5
- magnetic moment (μB per formula unit) = 3.1
- space group = No. 166

Cell and atoms, written as POSCAR:
```
DyHo2V
1.0
1.679 0.969 11.380
-1.679 0.969 11.380
0.000 -1.939 11.380
Dy Ho V
1 2 1
direct
0.000 0.000 0.000
0.418 0.418 0.418
0.582 0.582 0.582
0.500 0.500 0.500
```

---

First-principles (PBE) data for an optimized crystal structure of PrEr3Ir8, as listed in Alexandria via LeMat-Bulk.

- energy of formation from the pure elements (meV per atom) = -778.5
- magnetic moment (μB per formula unit) = 0.0
- space group = No. 160

Cell and atoms, written as POSCAR:
```
PrEr3Ir8
1.0
2.686 1.551 8.769
-2.686 1.551 8.769
0.000 -3.101 8.769
Pr Er Ir
1 3 8
direct
0.000 0.000 0.000
0.126 0.126 0.126
0.499 0.499 0.499
0.624 0.624 0.624
0.062 0.062 0.560
0.062 0.560 0.062
0.064 0.563 0.563
0.312 0.312 0.312
0.560 0.062 0.062
0.563 0.064 0.563
0.563 0.563 0.064
0.812 0.812 0.812
```

---

First-principles (PBE) data for an optimized crystal structure of Cd8Ag5, as listed in Alexandria via LeMat-Bulk.

- energy of formation from the pure elements (meV per atom) = -57.2
- magnetic moment (μB per formula unit) = 0.0
- space group = No. 217

Cell and atoms, written as POSCAR:
```
Cd8Ag5
1.0
-5.067 5.067 5.067
5.067 -5.067 5.067
5.067 5.067 -5.067
Cd Ag
16 10
direct
0.000 0.000 0.779
0.000 0.282 0.653
0.000 0.653 0.282
0.000 0.779 0.000
0.221 0.221 0.221
0.282 0.000 0.653
0.282 0.653 0.000
0.347 0.347 0.629
0.347 0.629 0.347
0.371 0.718 0.718
0.629 0.347 0.347
0.653 0.000 0.282
0.653 0.282 0.000
0.718 0.371 0.718
0.718 0.718 0.371
0.779 0.000 0.000
0.000 0.000 0.345
0.000 0.345 0.000
0.000 0.356 0.356
0.000 0.644 0.644
0.345 0.000 0.000
0.356 0.000 0.356
0.356 0.356 0.000
0.644 0.000 0.644
0.644 0.644 0.000
0.655 0.655 0.655
```

---

First-principles (PBE) data for an optimized crystal structure of CeSmAlPb, as listed in Alexandria via LeMat-Bulk.

- energy of formation from the pure elements (meV per atom) = -298.9
- magnetic moment (μB per formula unit) = 1.2
- space group = No. 216

Cell and atoms, written as POSCAR:
```
CeSmAlPb
1.0
0.000 3.819 3.819
3.819 0.000 3.819
3.819 3.819 0.000
Ce Sm Al Pb
1 1 1 1
direct
0.000 0.000 0.000
0.500 0.500 0.500
0.250 0.250 0.250
0.750 0.750 0.750
```

---

First-principles (PBE) data for an optimized crystal structure of Be2CuPt2, as listed in Alexandria via LeMat-Bulk.

- energy of formation from the pure elements (meV per atom) = -557.5
- energy relative to the lowest polymorph listed for this composition (eV/atom) = 0.000
- magnetic moment (μB per formula unit) = 0.0
- space group = No. 127

Cell and atoms, written as POSCAR:
```
Be2CuPt2
1.0
6.578 0.000 0.000
0.000 6.578 0.000
0.000 0.000 2.760
Be Cu Pt
4 2 4
direct
0.130 0.370 0.000
0.370 0.870 0.000
0.630 0.130 0.000
0.870 0.630 0.000
0.000 0.000 0.000
0.500 0.500 0.000
0.165 0.665 0.500
0.335 0.165 0.500
0.665 0.835 0.500
0.835 0.335 0.500
```

---

First-principles (PBE) data for an optimized crystal structure of Mg2CoCu, as listed in Alexandria via LeMat-Bulk.

- energy of formation from the pure elements (meV per atom) = 66.8
- magnetic moment (μB per formula unit) = 0.9
- space group = No. 8

Cell and atoms, written as POSCAR:
```
Mg2CoCu
1.0
4.884 -1.408 0.000
4.884 1.408 0.000
-1.434 0.000 4.404
Mg Co Cu
2 1 1
direct
0.000 0.000 0.000
0.211 0.211 0.638
0.750 0.750 0.157
0.453 0.453 0.465
```

---

First-principles (PBE) data for an optimized crystal structure of AgPtW2, as listed in Alexandria via LeMat-Bulk.

- energy of formation from the pure elements (meV per atom) = 136.1
- energy relative to the lowest polymorph listed for this composition (eV/atom) = 0.000
- magnetic moment (μB per formula unit) = 0.0
- space group = No. 99

Cell and atoms, written as POSCAR:
```
AgPtW2
1.0
2.774 0.000 0.000
0.000 2.774 0.000
0.000 0.000 8.481
Ag Pt W
1 1 2
direct
0.000 0.000 0.000
0.500 0.500 0.263
0.000 0.000 0.483
0.500 0.500 0.743
```

---

First-principles (PBE) data for an optimized crystal structure of La2Ag3, as listed in Alexandria via LeMat-Bulk.

- energy of formation from the pure elements (meV per atom) = -210.4
- energy relative to the lowest polymorph listed for this composition (eV/atom) = 0.054
- magnetic moment (μB per formula unit) = 0.0
- space group = No. 166

Cell and atoms, written as POSCAR:
```
La2Ag3
1.0
2.479 1.431 6.249
-2.479 1.431 6.249
0.000 -2.862 6.249
La Ag
2 3
direct
0.087 0.087 0.087
0.913 0.913 0.913
0.334 0.334 0.334
0.500 0.500 0.500
0.666 0.666 0.666
```

---

First-principles (PBE) data for an optimized crystal structure of Sr2ScCdN, as listed in Alexandria via LeMat-Bulk.

- uncorrected formation energy (eV per atom) = -0.5725
- magnetic moment (μB per formula unit) = 0.0
- space group = No. 123

Cell and atoms, written as POSCAR:
```
Sr2ScCdN
1.0
5.511 0.000 0.000
0.000 5.511 0.000
0.000 0.000 4.280
Sr Sc Cd N
2 1 1 1
direct
0.000 0.500 0.000
0.500 0.000 0.000
0.000 0.000 0.500
0.500 0.500 0.500
0.000 0.000 0.000
```

---

First-principles (PBE) data for an optimized crystal structure of CuP2Ir, as listed in Alexandria via LeMat-Bulk.

- energy of formation from the pure elements (meV per atom) = -101.4
- energy relative to the lowest polymorph listed for this composition (eV/atom) = 0.047
- magnetic moment (μB per formula unit) = 0.0
- space group = No. 122

Cell and atoms, written as POSCAR:
```
CuP2Ir
1.0
-2.620 2.620 5.310
2.620 -2.620 5.310
2.620 2.620 -5.310
Cu P Ir
2 4 2
direct
0.000 0.000 0.000
0.750 0.250 0.500
0.131 0.625 0.006
0.375 0.381 0.506
0.619 0.125 0.994
0.875 0.869 0.494
0.250 0.750 0.500
0.500 0.500 0.000
```

---

First-principles (PBE) data for an optimized crystal structure of SmPaS3, as listed in Alexandria via LeMat-Bulk.

- energy relative to the lowest polymorph listed for this composition (eV/atom) = 0.208
- uncorrected formation energy (eV per atom) = -1.6339
- magnetic moment (μB per formula unit) = 1.7
- space group = No. 155

Cell and atoms, written as POSCAR:
```
SmPaS3
1.0
3.354 1.936 6.836
-3.354 1.936 6.836
0.000 -3.873 6.836
Sm Pa S
2 2 6
direct
0.153 0.153 0.153
0.847 0.847 0.847
0.342 0.342 0.342
0.658 0.658 0.658
0.058 0.455 0.737
0.263 0.545 0.942
0.455 0.737 0.058
0.545 0.942 0.263
0.737 0.058 0.455
0.942 0.263 0.545
```

---

First-principles (PBE) data for an optimized crystal structure of TbCeCdGa, as listed in Alexandria via LeMat-Bulk.

- energy of formation from the pure elements (meV per atom) = -354.8
- magnetic moment (μB per formula unit) = 0.7
- space group = No. 216

Cell and atoms, written as POSCAR:
```
TbCeCdGa
1.0
0.000 3.709 3.709
3.709 0.000 3.709
3.709 3.709 0.000
Tb Ce Cd Ga
1 1 1 1
direct
0.000 0.000 0.000
0.500 0.500 0.500
0.250 0.250 0.250
0.750 0.750 0.750
```

---

First-principles (PBE) data for an optimized crystal structure of La3Tb2Th, as listed in Alexandria via LeMat-Bulk.

- energy of formation from the pure elements (meV per atom) = 40.5
- energy relative to the lowest polymorph listed for this composition (eV/atom) = 0.000
- magnetic moment (μB per formula unit) = 0.0
- space group = No. 74

Cell and atoms, written as POSCAR:
```
La3Tb2Th
1.0
-2.590 5.137 7.757
2.590 -5.137 7.757
2.590 5.137 -7.757
La Tb Th
6 4 2
direct
0.000 0.000 0.000
0.172 0.668 0.505
0.337 0.332 0.005
0.500 0.000 0.500
0.663 0.668 0.995
0.828 0.332 0.495
0.084 0.834 0.250
0.255 0.505 0.750
0.745 0.495 0.250
0.916 0.166 0.750
0.421 0.171 0.250
0.579 0.829 0.750
```

---

First-principles (PBE) data for an optimized crystal structure of Nd5HoTl6, as listed in Alexandria via LeMat-Bulk.

- energy of formation from the pure elements (meV per atom) = -377.8
- magnetic moment (μB per formula unit) = 0.0
- space group = No. 12

Cell and atoms, written as POSCAR:
```
Nd5HoTl6
1.0
4.748 -8.252 0.000
4.748 8.252 0.000
-3.177 0.000 4.489
Nd Ho Tl
5 1 6
direct
0.000 0.000 0.000
0.165 0.835 0.500
0.329 0.671 0.000
0.671 0.329 0.000
0.835 0.165 0.500
0.500 0.500 0.500
0.092 0.419 0.256
0.261 0.261 0.761
0.419 0.092 0.256
0.581 0.908 0.744
0.739 0.739 0.239
0.908 0.581 0.744
```

---

First-principles (PBE) data for an optimized crystal structure of PaCr2, as listed in Alexandria via LeMat-Bulk.

- energy of formation from the pure elements (meV per atom) = 119.3
- magnetic moment (μB per formula unit) = 0.0
- space group = No. 227

Cell and atoms, written as POSCAR:
```
PaCr2
1.0
0.000 3.623 3.623
3.623 0.000 3.623
3.623 3.623 0.000
Pa Cr
2 4
direct
0.125 0.125 0.125
0.875 0.875 0.875
0.000 0.500 0.500
0.500 0.000 0.500
0.500 0.500 0.000
0.500 0.500 0.500
```

---

First-principles (PBE) data for an optimized crystal structure of Tm3AlGe3, as listed in Alexandria via LeMat-Bulk.

- energy of formation from the pure elements (meV per atom) = -546.4
- energy relative to the lowest polymorph listed for this composition (eV/atom) = 0.201
- magnetic moment (μB per formula unit) = 0.0
- space group = No. 176

Cell and atoms, written as POSCAR:
```
Tm3AlGe3
1.0
8.432 0.000 0.000
-4.216 7.303 0.000
0.000 0.000 5.787
Tm Al Ge
6 2 6
direct
0.057 0.692 0.250
0.308 0.366 0.250
0.366 0.057 0.750
0.634 0.943 0.250
0.692 0.634 0.750
0.943 0.308 0.750
0.333 0.667 0.750
0.667 0.333 0.250
0.054 0.696 0.750
0.304 0.358 0.750
0.358 0.054 0.250
0.642 0.946 0.750
0.696 0.642 0.250
0.946 0.304 0.250
```

---

First-principles (PBE) data for an optimized crystal structure of AcP4O12, as listed in Alexandria via LeMat-Bulk.

- uncorrected formation energy (eV per atom) = -1.4655
- magnetic moment (μB per formula unit) = 0.0
- space group = No. 204

Cell and atoms, written as POSCAR:
```
AcP4O12
1.0
-3.448 3.448 3.448
3.448 -3.448 3.448
3.448 3.448 -3.448
Ac P O
1 4 12
direct
0.000 0.000 0.000
0.000 0.000 0.500
0.000 0.500 0.000
0.500 0.000 0.000
0.500 0.500 0.500
0.074 0.787 0.287
0.213 0.287 0.501
0.213 0.713 0.926
0.287 0.074 0.787
0.287 0.501 0.213
0.499 0.787 0.713
0.501 0.213 0.287
0.713 0.499 0.787
0.713 0.926 0.213
0.787 0.287 0.074
0.787 0.713 0.499
0.926 0.213 0.713
```

---

no.,DOS at the Fermi energy (states/eV/atom)
1,0.57
2,1.43
3,0.48
4,1.68
5,0.80
6,0.44
7,2.06
8,0.24
9,0.66
10,0.44
11,1.19
12,0.90
13,0.40
14,0.95
15,2.29
16,1.77
17,0.80
18,1.41
19,0.20
20,0.71